Record 1
This record from Alexandria via LeMat-Bulk describes a relaxed structure of GaCo2NiB. The functional is PBE.

a = 3.791 Å, b = 3.791 Å, c = 3.788 Å
α = 90.00°, β = 90.00°, γ = 90.00°
Element x y z (fractional)
Co 0.500 0.000 0.000
Ga 0.500 0.500 0.500
Ni 0.000 0.000 0.500
Co 0.000 0.500 0.000
B 0.000 0.000 0.000

Properties
As for the space-group type: P4/mmm. Its total energy is -6.117 eV/atom. The calculation puts the size of the total moment at 0.00 μB per cell.

=====

Record 2
This record from Alexandria via LeMat-Bulk describes a relaxed structure of PuInP2. The functional is PBE.

a = 4.087 Å, b = 4.087 Å, c = 6.472 Å
α = 71.60°, β = 71.60°, γ = 60.00°
Element x y z (fractional)
Pu 0.500 0.500 0.500
In 0.000 0.000 0.000
P 0.249 0.249 0.254
P 0.751 0.751 0.746

Properties
As for the space-group type: R-3m. Its total energy is -7.457 eV/atom. The calculation puts the size of the total moment at 4.98 μB per cell.

=====

Record 3
This record from Alexandria via LeMat-Bulk describes a relaxed structure of PuNp2Sb2Pd2. The functional is PBE.

a = 4.675 Å, b = 4.675 Å, c = 8.969 Å
α = 74.90°, β = 74.90°, γ = 60.00°
Element x y z (fractional)
Np 0.145 0.145 0.566
Np 0.855 0.855 0.434
Pu 0.000 0.000 0.000
Sb 0.267 0.267 0.198
Pd 0.440 0.440 0.679
Sb 0.733 0.733 0.802
Pd 0.560 0.560 0.321

Properties
The formation energy (no corrections) is -0.45 eV per atom. As for the space-group type: R-3m. Its total energy is -8.857 eV/atom. The calculation puts the size of the total moment at 14.01 μB per cell.